[1]
The following is a PBE calculation of a geometry-optimized TlZnInF6 structure, from the Alexandria database.

Its size of the total moment is 0.000 μB/f.u. The calculation puts the formation energy (no corrections) at -2.31 eV per atom.

It has space group Imma (No. 74), with a = 7.5222 Å, b = 7.9091 Å, c = 10.9780 Å, α = 90.00°, β = 90.00° and γ = 90.00°. Symmetry generates all atoms from Tl at (0.0000, 0.2500, 0.0477), Zn at (0.2500, 0.2500, 0.7500), In at (0.0000, 0.0000, 0.5000), F at (0.0000, 0.2500, 0.4255), F at (0.0000, 0.2500, 0.8110) and F at (0.2083, 0.0653, 0.6177).

---

[2]
The following is a PBE calculation of a geometry-optimized TlZnIn2F6 structure, from the Alexandria database.

Its size of the total moment is 1.016 μB/f.u. The calculation puts the formation energy (no corrections) at -1.96 eV per atom.

It has space group R3 (No. 146, hexagonal axes), with a = 6.6207 Å, b = 6.6207 Å, c = 14.3657 Å, α = 90.00°, β = 90.00° and γ = 120.00°. Symmetry generates all atoms from Tl at (0.0000, 0.0000, 0.0000), Zn at (0.0000, 0.0000, 0.5186), In at (0.0000, 0.0000, 0.3031), In at (0.0000, 0.0000, 0.7469), F at (0.1073, 0.7074, 0.2721) and F at (0.1191, 0.4171, 0.0861).

---

Repeat the second record exactly.
The following is a PBE calculation of a geometry-optimized TlZnIn2F6 structure, from the Alexandria database.

Its size of the total moment is 1.016 μB/f.u. The calculation puts the formation energy (no corrections) at -1.96 eV per atom.

It has space group R3 (No. 146, hexagonal axes), with a = 6.6207 Å, b = 6.6207 Å, c = 14.3657 Å, α = 90.00°, β = 90.00° and γ = 120.00°. Symmetry generates all atoms from Tl at (0.0000, 0.0000, 0.0000), Zn at (0.0000, 0.0000, 0.5186), In at (0.0000, 0.0000, 0.3031), In at (0.0000, 0.0000, 0.7469), F at (0.1073, 0.7074, 0.2721) and F at (0.1191, 0.4171, 0.0861).